Mg5CdPt3: relaxed, GGA-PBE.

Properties
- Crystal system: hexagonal
- N(E_F): 2.82 states/eV/f.u.
- Calculated formation energy: -0.63 eV per atom

abc: 5.7438 8.0040 8.0036
angles: 120.00 90.00 90.00
Sites, in units of the cell vectors:
Mg 0.2500 0.3269 0.3269
Pt 0.2500 0.3447 0.0000
Mg 0.5000 0.6667 0.3333
Mg 0.7500 0.0000 0.3269
Mg 0.0000 0.6667 0.3333
Cd 0.0000 0.0000 0.0000
Pt 0.7500 0.0000 0.6553
Mg 0.0000 0.3333 0.6667
Pt 0.2500 0.0000 0.3447
Mg 0.2500 0.0000 0.6731
Cd 0.5000 0.0000 0.0000
Mg 0.7500 0.3269 0.0000
Pt 0.7500 0.3447 0.3447
Mg 0.7500 0.6731 0.6731
Mg 0.2500 0.6731 0.0000
Mg 0.5000 0.3333 0.6667
Pt 0.7500 0.6553 0.0000
Pt 0.2500 0.6553 0.6553